# 1
# Tb3PdO | Alexandria | PBE | optimized geometry
# V: 21.0 Å³/atom
# Formation energy without anion corrections: -1.375 eV per atom
# Total magnetization: 0.00 μB per cell
# Mass density: 9.456 g/cm³
data_Tb3PdO
_chemical_formula_sum 'Tb3 Pd1 O1'
_symmetry_space_group_name_H-M 'P 1'
_symmetry_Int_Tables_number 1
_symmetry_space_group_name_Hall 'P 1'
_cell_length_a 4.721
_cell_length_b 4.721
_cell_length_c 4.721
_cell_angle_alpha 90.00
_cell_angle_beta 90.00
_cell_angle_gamma 90.00
loop_
_atom_site_label
_atom_site_type_symbol
_atom_site_fract_x
_atom_site_fract_y
_atom_site_fract_z
Tb1 Tb 0.000 0.000 0.500
Tb2 Tb 0.000 0.500 0.000
Tb3 Tb 0.500 0.000 0.000
Pd1 Pd 0.500 0.500 0.500
O1 O 0.000 0.000 0.000

# 2
# TaInPb2 | Alexandria | PBE | optimized geometry
# V: 24.8 Å³/atom
# Formation energy from the elements: 54.5 kJ per mole of atoms
# Total magnetization: 0.00 μB per cell
# Mass density: 11.909 g/cm³
data_TaInPb2
_chemical_formula_sum 'Ta1 In1 Pb2'
_symmetry_space_group_name_H-M 'P 1'
_symmetry_Int_Tables_number 1
_symmetry_space_group_name_Hall 'P 1'
_cell_length_a 6.377
_cell_length_b 6.377
_cell_length_c 3.212
_cell_angle_alpha 104.50
_cell_angle_beta 104.50
_cell_angle_gamma 119.23
loop_
_atom_site_label
_atom_site_type_symbol
_atom_site_fract_x
_atom_site_fract_y
_atom_site_fract_z
Ta1 Ta 0.000 0.000 0.000
In1 In 0.500 0.500 0.000
Pb1 Pb 0.000 0.500 0.500
Pb2 Pb 0.500 0.000 0.500

# 3
# Li3Ca2Cu2 | Alexandria | PBE | optimized geometry
# V: 23.5 Å³/atom
# Formation energy from the elements: -5.2 kJ per mole of atoms
# Total magnetization: 0.00 μB per cell
# Mass density: 2.306 g/cm³
data_Li3Ca2Cu2
_chemical_formula_sum 'Li3 Ca2 Cu2'
_symmetry_space_group_name_H-M 'P 1'
_symmetry_Int_Tables_number 1
_symmetry_space_group_name_Hall 'P 1'
_cell_length_a 10.305
_cell_length_b 10.305
_cell_length_c 3.941
_cell_angle_alpha 90.00
_cell_angle_beta 90.00
_cell_angle_gamma 156.89
loop_
_atom_site_label
_atom_site_type_symbol
_atom_site_fract_x
_atom_site_fract_y
_atom_site_fract_z
Li1 Li 0.000 0.000 0.000
Li2 Li 0.428 0.572 0.500
Li3 Li 0.572 0.428 0.500
Ca1 Ca 0.169 0.831 0.000
Ca2 Ca 0.831 0.169 0.000
Cu1 Cu 0.284 0.716 0.500
Cu2 Cu 0.716 0.284 0.500

# 4
# PmSn2Sb | Alexandria | PBE | optimized geometry
# V: 28.8 Å³/atom
# Formation energy without anion corrections: -0.200 eV per atom
# Total magnetization: 0.00 μB per cell
# Mass density: 7.269 g/cm³
# Energy above the most stable polymorph in this dataset: 0.2877 eV per atom
data_PmSn2Sb
_chemical_formula_sum 'Pm1 Sn2 Sb1'
_symmetry_space_group_name_H-M 'P 1'
_symmetry_Int_Tables_number 1
_symmetry_space_group_name_Hall 'P 1'
_cell_length_a 5.757
_cell_length_b 5.757
_cell_length_c 5.757
_cell_angle_alpha 53.74
_cell_angle_beta 53.74
_cell_angle_gamma 53.74
loop_
_atom_site_label
_atom_site_type_symbol
_atom_site_fract_x
_atom_site_fract_y
_atom_site_fract_z
Pm1 Pm 0.000 0.000 0.000
Sn1 Sn 0.233 0.233 0.233
Sn2 Sn 0.767 0.767 0.767
Sb1 Sb 0.500 0.500 0.500

# 5
# TlSiNO2 | Alexandria | PBE | optimized geometry
# V: 15.4 Å³/atom
# Formation energy without anion corrections: 1.117 eV per atom
# Total magnetization: 1.07 μB per cell
# Mass density: 6.013 g/cm³
data_TlSiNO2
_chemical_formula_sum 'Tl1 Si1 N1 O2'
_symmetry_space_group_name_H-M 'P 1'
_symmetry_Int_Tables_number 1
_symmetry_space_group_name_Hall 'P 1'
_cell_length_a 4.247
_cell_length_b 4.247
_cell_length_c 4.264
_cell_angle_alpha 90.00
_cell_angle_beta 90.00
_cell_angle_gamma 90.00
loop_
_atom_site_label
_atom_site_type_symbol
_atom_site_fract_x
_atom_site_fract_y
_atom_site_fract_z
Tl1 Tl 0.000 0.000 0.000
Si1 Si 0.500 0.500 0.500
N1 N 0.000 0.000 0.500
O1 O 0.000 0.500 0.000
O2 O 0.500 0.000 0.000

# 6
# NpNiPd2 | Alexandria | PBE | optimized geometry
# V: 16.5 Å³/atom
# Formation energy from the elements: 15.7 kJ per mole of atoms
# Total magnetization: 4.45 μB per cell
# Mass density: 12.762 g/cm³
# Energy above the most stable polymorph in this dataset: 0.4121 eV per atom
data_NpNiPd2
_chemical_formula_sum 'Np1 Ni1 Pd2'
_symmetry_space_group_name_H-M 'P 1'
_symmetry_Int_Tables_number 1
_symmetry_space_group_name_Hall 'P 1'
_cell_length_a 9.682
_cell_length_b 9.682
_cell_length_c 9.682
_cell_angle_alpha 16.80
_cell_angle_beta 16.80
_cell_angle_gamma 16.80
loop_
_atom_site_label
_atom_site_type_symbol
_atom_site_fract_x
_atom_site_fract_y
_atom_site_fract_z
Np1 Np 0.000 0.000 0.000
Ni1 Ni 0.500 0.500 0.500
Pd1 Pd 0.094 0.094 0.094
Pd2 Pd 0.906 0.906 0.906